1.
An optimized crystal structure of U2Si4TcIr3. Source: Alexandria, functional PBE.

Cell: 4.1880 4.1880 9.5981 Å, 90.00 90.00 90.00°
Sites, in units of the cell vectors:
1 Ir 0.0000 0.5000 0.1263
2 Ir 0.0000 0.0000 0.5000
3 Si 0.5000 0.5000 0.0000
4 Ir 0.5000 0.0000 0.8737
5 Si 0.0000 0.5000 0.3722
6 Tc 0.5000 0.5000 0.5000
7 U 0.5000 0.0000 0.2518
8 U 0.0000 0.5000 0.7482
9 Si 0.0000 0.0000 0.0000
10 Si 0.5000 0.0000 0.6278

Computed properties:
- space-group type = P-4m2 (115)
- crystal system = tetragonal
- formation energy from raw total energies (eV/atom) = -0.72



2.
An optimized crystal structure of Er3TmCd3. Source: Alexandria, functional PBE.

Cell: 7.4952 7.4952 6.8346 Å, 90.02 90.02 89.81°
Sites, in units of the cell vectors:
1 Cd 0.0001 0.0001 0.2488
2 Tm 0.2368 0.2368 0.0001
3 Er 0.7004 0.2996 0.0000
4 Cd 0.4999 0.0000 0.2494
5 Cd 0.5001 0.0000 0.7506
6 Er 0.7627 0.2373 0.5000
7 Cd 0.9999 0.9999 0.7512
8 Cd 0.0000 0.5001 0.7506
9 Er 0.2373 0.7627 0.5000
10 Er 0.2996 0.7004 0.0000
11 Cd 0.0000 0.4999 0.2494
12 Er 0.7029 0.7029 0.4997
13 Er 0.2971 0.2971 0.5003
14 Tm 0.7632 0.7632 0.9999

Computed properties:
- formation energy (eV/f.u.) = -0.9
- space-group type = Cmmm (65)
- crystal system = orthorhombic



3.
An optimized crystal structure of SiTcSb2I. Source: Alexandria, functional PBE.

Cell: 5.2334 5.2334 5.3322 Å, 90.00 90.00 90.00°
Sites, in units of the cell vectors:
1 Sb 0.5000 0.0000 0.0000
2 Tc 0.5000 0.5000 0.5000
3 I 0.0000 0.0000 0.5000
4 Sb 0.0000 0.5000 0.0000
5 Si 0.0000 0.0000 0.0000

Computed properties:
- space-group type = P4/mmm (123)
- ΔE to the lowest computed polymorph (eV per atom) = 0.399
- crystal system = tetragonal
- formation energy from raw total energies (eV/atom) = 1.26



4.
An optimized crystal structure of TmScAu2. Source: Alexandria, functional PBE.

Cell: 3.4715 3.4715 6.9782 Å, 90.00 90.00 90.00°
Sites, in units of the cell vectors:
1 Tm 0.5000 0.5000 0.5000
2 Sc 0.5000 0.5000 0.0000
3 Au 0.0000 0.0000 0.2340
4 Au 0.0000 0.0000 0.7660

Computed properties:
- formation energy (eV/f.u.) = -3.4
- space-group type = P4/mmm (123)
- ΔE to the lowest computed polymorph (eV per atom) = 0.000
- crystal system = tetragonal



5.
An optimized crystal structure of CeSeI. Source: Alexandria, functional PBE.

Cell: 4.9555 4.9555 8.6815 Å, 104.10 104.10 87.98°
Sites, in units of the cell vectors:
1 I 0.0000 0.5000 0.0000
2 Se 0.7172 0.7172 0.3745
3 Ce 0.9172 0.9172 0.7172
4 Ce 0.0828 0.0828 0.2828
5 Se 0.2828 0.2828 0.6255
6 I 0.5000 0.0000 0.0000

Computed properties:
- space-group type = C2/m (12)
- ΔE to the lowest computed polymorph (eV per atom) = 0.381
- crystal system = monoclinic
- formation energy from raw total energies (eV/atom) = -1.23



6.
An optimized crystal structure of TcCl. Source: Alexandria, functional PBE.

Cell: 8.7884 8.7884 5.4994 Å, 86.67 86.67 19.42°
Sites, in units of the cell vectors:
1 Tc 0.0905 0.0905 0.4568
2 Tc 0.6885 0.6885 0.1443
3 Cl 0.4819 0.4819 0.5706
4 Cl 0.2943 0.2943 0.0681
5 Cl 0.0089 0.0089 0.0756
6 Tc 0.6027 0.6027 0.8513

Computed properties:
- space-group type = Cm (8)
- ΔE to the lowest computed polymorph (eV per atom) = 0.175
- crystal system = monoclinic
- formation energy from raw total energies (eV/atom) = 0.05



7.
An optimized crystal structure of Ho6Fe2Sb. Source: Alexandria, functional PBE.

Cell: 8.3668 8.3668 8.3668 Å, 107.01 110.83 110.61°
Sites, in units of the cell vectors:
1 Ho 0.9016 0.1858 0.7159
2 Ho 0.2171 0.4493 0.2322
3 Ho 0.3028 0.6849 0.9878
4 Ho 0.6972 0.6849 0.3821
5 Fe 0.3864 0.3864 0.0000
6 Ho 0.7829 0.0150 0.2322
7 Fe 0.6136 0.6136 0.0000
8 Fe 0.5000 0.8920 0.3920
9 Sb 0.0000 0.0000 0.0000
10 Ho 0.6972 0.3151 0.0122
11 Fe 0.5000 0.1080 0.6080
12 Ho 0.5301 0.8142 0.7159
13 Ho 0.7829 0.5507 0.7678
14 Ho 0.0984 0.8142 0.2841
15 Ho 0.4699 0.1858 0.2841
16 Ho 0.3028 0.3151 0.6179
17 Sb 0.0000 0.5000 0.5000
18 Ho 0.2171 0.9850 0.7678

Computed properties:
- space-group type = Immm (71)
- crystal system = orthorhombic
- formation energy from raw total energies (eV/atom) = -0.28



8.
An optimized crystal structure of AlNi2Au. Source: Alexandria, functional PBE.

Cell: 4.5751 4.5751 4.4931 Å, 77.00 77.00 35.98°
Sites, in units of the cell vectors:
1 Ni 0.0074 0.0074 0.9788
2 Ni 0.7535 0.7535 0.7488
3 Au 0.2478 0.2478 0.2463
4 Al 0.4914 0.4914 0.5261

Computed properties:
- formation energy (eV/f.u.) = -1.0
- space-group type = Cm (8)
- crystal system = monoclinic



9.
An optimized crystal structure of MgPtRh2. Source: Alexandria, functional PBE.

Cell: 4.7900 4.7900 4.7604 Å, 80.19 80.19 33.95°
Sites, in units of the cell vectors:
1 Rh 0.2535 0.2535 0.2301
2 Mg 0.4998 0.4998 0.5095
3 Rh 0.9982 0.9982 0.0177
4 Pt 0.7485 0.7485 0.7427

Computed properties:
- formation energy (eV/f.u.) = -1.3
- space-group type = Cm (8)
- crystal system = monoclinic



10.
An optimized crystal structure of Tb3Zn4Ni4. Source: Alexandria, functional PBE.

Cell: 3.7646 3.9742 13.3491 Å, 81.58 81.85 90.02°
Sites, in units of the cell vectors:
1 Zn 0.2507 0.2517 0.4979
2 Tb 0.1485 0.6486 0.7015
3 Zn 0.4043 0.9044 0.1924
4 Ni 0.3120 0.8112 0.3782
5 Ni 0.4547 0.4551 0.0896
6 Tb 0.0000 0.0000 0.0000
7 Ni 0.5453 0.5449 0.9104
8 Tb 0.8515 0.3514 0.2985
9 Ni 0.6880 0.1889 0.6218
10 Zn 0.5958 0.0957 0.8076
11 Zn 0.7493 0.7483 0.5021

Computed properties:
- formation energy (eV/f.u.) = -4.1
- space-group type = P-1 (2)
- ΔE to the lowest computed polymorph (eV per atom) = 0.024
- crystal system = triclinic



11.
An optimized crystal structure of TcMo3W. Source: Alexandria, functional PBE.

Cell: 4.6649 4.6649 4.6649 Å, 90.00 90.00 90.00°
Sites, in units of the cell vectors:
1 W 0.0000 0.0000 0.0000
2 Tc 0.5000 0.5000 0.5000
3 Mo 0.5000 0.0000 0.0000
4 Mo 0.0000 0.0000 0.5000
5 Mo 0.0000 0.5000 0.0000

Computed properties:
- formation energy (eV/f.u.) = 10.4
- space-group type = Pm-3m (221)
- ΔE to the lowest computed polymorph (eV per atom) = 1.930
- crystal system = cubic



12.
An optimized crystal structure of MoRuI2N. Source: Alexandria, functional PBE.

Cell: 5.5775 5.5775 3.7154 Å, 90.00 90.00 90.00°
Sites, in units of the cell vectors:
1 I 0.5000 0.0000 0.0000
2 Ru 0.0000 0.0000 0.0000
3 I 0.0000 0.5000 0.0000
4 N 0.0000 0.0000 0.5000
5 Mo 0.5000 0.5000 0.5000

Computed properties:
- space-group type = P4/mmm (123)
- ΔE to the lowest computed polymorph (eV per atom) = 0.000
- crystal system = tetragonal
- formation energy from raw total energies (eV/atom) = 0.97



13.
An optimized crystal structure of RbIrRu. Source: Alexandria, functional PBE.

Cell: 5.2759 4.1024 7.0171 Å, 90.00 82.32 90.00°
Sites, in units of the cell vectors:
1 Ir 0.0342 0.0000 0.6285
2 Ir 0.7590 0.5000 0.7395
3 Ru 0.5322 0.0000 0.6138
4 Rb 0.4326 0.0000 0.0985
5 Rb 0.9088 0.5000 0.2588
6 Ru 0.2659 0.5000 0.7327

Computed properties:
- formation energy (eV/f.u.) = 1.6
- space-group type = Pm (6)
- ΔE to the lowest computed polymorph (eV per atom) = 0.017
- crystal system = monoclinic



14.
An optimized crystal structure of TlFe4. Source: Alexandria, functional PBE.

Cell: 5.0111 5.0111 5.0111 Å, 109.47 109.47 109.47°
Sites, in units of the cell vectors:
1 Fe 0.5000 0.5000 0.5000
2 Fe 0.0000 0.5000 0.0000
3 Fe 0.5000 0.0000 0.0000
4 Tl 0.0000 0.0000 0.0000
5 Fe 0.0000 0.0000 0.5000

Computed properties:
- formation energy (eV/f.u.) = 7.3
- space-group type = Im-3m (229)
- ΔE to the lowest computed polymorph (eV per atom) = 0.890
- crystal system = cubic



15.
An optimized crystal structure of Gd2HoBr. Source: Alexandria, functional PBE.

Cell: 3.6699 3.6699 10.5132 Å, 79.95 79.95 60.00°
Sites, in units of the cell vectors:
1 Br 0.0000 0.0000 0.0000
2 Gd 0.7426 0.7426 0.7721
3 Ho 0.5000 0.5000 0.5000
4 Gd 0.2574 0.2574 0.2279

Computed properties:
- space-group type = R-3m (166)
- ΔE to the lowest computed polymorph (eV per atom) = 0.000
- crystal system = trigonal
- formation energy from raw total energies (eV/atom) = -0.54



16.
An optimized crystal structure of Zr2CBr2. Source: Alexandria, functional PBE.

Cell: 3.5165 3.5165 10.7506 Å, 80.59 80.59 60.00°
Sites, in units of the cell vectors:
1 Br 0.2342 0.2342 0.2973
2 Zr 0.6293 0.6293 0.1122
3 C 0.0000 0.0000 0.0000
4 Zr 0.3707 0.3707 0.8878
5 Br 0.7658 0.7658 0.7027

Computed properties:
- space-group type = R-3m (166)
- crystal system = trigonal
- formation energy from raw total energies (eV/atom) = -1.23



17.
An optimized crystal structure of SrLiHoCd. Source: Alexandria, functional PBE.

Cell: 5.4909 5.4909 5.4909 Å, 60.00 60.00 60.00°
Sites, in units of the cell vectors:
1 Li 0.7500 0.7500 0.7500
2 Cd 0.2500 0.2500 0.2500
3 Ho 0.5000 0.5000 0.5000
4 Sr 0.0000 0.0000 0.0000

Computed properties:
- formation energy (eV/f.u.) = -0.2
- space-group type = F-43m (216)
- crystal system = cubic



18.
An optimized crystal structure of SrBr. Source: Alexandria, functional PBE.

Cell: 12.6646 12.6646 4.4718 Å, 90.00 90.00 90.00°
Sites, in units of the cell vectors:
1 Br 0.2817 0.3824 0.0000
2 Br 0.6176 0.2817 0.0000
3 Sr 0.6006 0.8364 0.0000
4 Br 0.8824 0.2183 0.5000
5 Sr 0.8994 0.6636 0.5000
6 Br 0.3824 0.7183 0.0000
7 Sr 0.1636 0.6006 0.0000
8 Sr 0.1006 0.3364 0.5000
9 Sr 0.3994 0.1636 0.0000
10 Sr 0.8364 0.3994 0.0000
11 Br 0.7183 0.6176 0.0000
12 Br 0.2183 0.1176 0.5000
13 Br 0.1176 0.7817 0.5000
14 Sr 0.6636 0.1006 0.5000
15 Br 0.7817 0.8824 0.5000
16 Sr 0.3364 0.8994 0.5000

Computed properties:
- space-group type = I4/m (87)
- crystal system = tetragonal
- formation energy from raw total energies (eV/atom) = -1.43



19.
An optimized crystal structure of TlSiAg2Se4. Source: Alexandria, functional PBE.

Cell: 7.0218 6.5243 6.5243 Å, 80.87 57.44 57.44°
Sites, in units of the cell vectors:
1 Ag 0.5000 0.7496 0.2504
2 Se 0.3859 0.1575 0.4565
3 Se 0.0001 0.4565 0.1575
4 Ag 0.5000 0.2504 0.7496
5 Se 0.9999 0.8425 0.5435
6 Tl 0.0000 0.0000 0.0000
7 Se 0.6141 0.5435 0.8425
8 Si 0.0000 0.5000 0.5000

Computed properties:
- space-group type = I-42m (121)
- crystal system = tetragonal
- formation energy from raw total energies (eV/atom) = -0.30



20.
An optimized crystal structure of PaB2Ir. Source: Alexandria, functional PBE.

Cell: 4.3351 4.3351 4.1304 Å, 58.35 58.35 60.00°
Sites, in units of the cell vectors:
1 Pa 0.5000 0.5000 0.5000
2 B 0.7612 0.7612 0.7163
3 Ir 0.0000 0.0000 0.0000
4 B 0.2388 0.2388 0.2837

Computed properties:
- formation energy (eV/f.u.) = -0.2
- space-group type = R-3m (166)
- ΔE to the lowest computed polymorph (eV per atom) = 0.604
- crystal system = trigonal



21.
An optimized crystal structure of LiAcTbHo. Source: Alexandria, functional PBE.

Cell: 5.6982 5.6982 5.6982 Å, 60.00 60.00 60.00°
Sites, in units of the cell vectors:
1 Li 0.0000 0.0000 0.0000
2 Ho 0.2500 0.2500 0.2500
3 Ac 0.5000 0.5000 0.5000
4 Tb 0.7500 0.7500 0.7500

Computed properties:
- formation energy (eV/f.u.) = 1.1
- space-group type = F-43m (216)
- crystal system = cubic



22.
An optimized crystal structure of LiTiNiPd. Source: Alexandria, functional PBE.

Cell: 4.2562 4.2562 4.2562 Å, 60.00 60.00 60.00°
Sites, in units of the cell vectors:
1 Li 0.7500 0.7500 0.7500
2 Ti 0.2500 0.2500 0.2500
3 Ni 0.5000 0.5000 0.5000
4 Pd 0.0000 0.0000 0.0000

Computed properties:
- formation energy (eV/f.u.) = -1.4
- space-group type = F-43m (216)
- crystal system = cubic



23.
An optimized crystal structure of GdMg4Cd. Source: Alexandria, functional PBE.

Cell: 5.9486 5.9486 5.9486 Å, 60.00 60.00 60.00°
Sites, in units of the cell vectors:
1 Mg 0.6245 0.1266 0.6245
2 Mg 0.6245 0.6245 0.1266
3 Mg 0.6245 0.6245 0.6245
4 Gd 0.2500 0.2500 0.2500
5 Cd 0.0000 0.0000 0.0000
6 Mg 0.1266 0.6245 0.6245

Computed properties:
- formation energy (eV/f.u.) = 0.1
- space-group type = F-43m (216)
- crystal system = cubic



24.
An optimized crystal structure of TlMo2Os. Source: Alexandria, functional PBE.

Cell: 9.4739 9.4739 9.4739 Å, 17.66 17.66 17.66°
Sites, in units of the cell vectors:
1 Tl 0.7500 0.7500 0.7500
2 Mo 0.5067 0.5067 0.5067
3 Mo 0.9933 0.9933 0.9933
4 Os 0.2500 0.2500 0.2500

Computed properties:
- formation energy (eV/f.u.) = 2.1
- space-group type = R-3m (166)
- ΔE to the lowest computed polymorph (eV per atom) = 0.152
- crystal system = trigonal



25.
An optimized crystal structure of Ho2Tm2Co. Source: Alexandria, functional PBE.

Cell: 7.2679 6.7568 7.8064 Å, 72.47 55.94 57.46°
Sites, in units of the cell vectors:
1 Ho 0.1655 0.0000 0.1066
2 Tm 0.4383 0.5482 0.7419
3 Tm 0.9865 0.4518 0.7419
4 Tm 0.0135 0.5482 0.2581
5 Ho 0.8345 0.0000 0.8934
6 Ho 0.6475 0.0000 0.5950
7 Tm 0.5617 0.4518 0.2581
8 Ho 0.3525 0.0000 0.4050
9 Co 0.8789 0.2422 0.5000
10 Co 0.1211 0.7578 0.5000

Computed properties:
- formation energy (eV/f.u.) = -0.4
- space-group type = C2/m (12)
- crystal system = monoclinic



26.
An optimized crystal structure of TaSnTe2I. Source: Alexandria, functional PBE.

Cell: 5.6750 5.6750 5.6283 Å, 90.00 90.00 90.00°
Sites, in units of the cell vectors:
1 Te 0.0000 0.5000 0.0000
2 Ta 0.5000 0.5000 0.5000
3 I 0.0000 0.0000 0.5000
4 Sn 0.0000 0.0000 0.0000
5 Te 0.5000 0.0000 0.0000

Computed properties:
- space-group type = P4/mmm (123)
- ΔE to the lowest computed polymorph (eV per atom) = 1.072
- crystal system = tetragonal
- formation energy from raw total energies (eV/atom) = 1.37